A geometry-optimized K2ReBr5Cl structure, computed with PBE.

Output
formation energy without anion corrections	-1.01	eV per atom
magnetization	0.333	μB/atom
DFT total energy	-3.7746	eV per atom

Structure (CIF):
```
data_K2ReBr5Cl
_symmetry_space_group_name_H-M 'I 4 m m'
_symmetry_Int_Tables_number 107
_symmetry_space_group_name_Hall 'I 4 -2'
_cell_length_a 7.505
_cell_length_b 7.505
_cell_length_c 10.416
_cell_angle_alpha 90.00
_cell_angle_beta 90.00
_cell_angle_gamma 90.00
loop_
_atom_site_label
_atom_site_fract_x
_atom_site_fract_y
_atom_site_fract_z
K1 0.000 0.500 0.000
Re1 0.000 0.000 0.251
Br1 0.000 0.000 0.008
Br2 0.239 0.239 0.250
Cl1 0.000 0.000 0.479
```

A geometry-optimized ZrSnTe3 structure, computed with PBE.

Output
formation energy without anion corrections	-0.52	eV per atom
ΔE to the lowest computed polymorph	0.0	kJ per mole of atoms
magnetization	0.000	μB/atom
density of states at the Fermi level	0.7	states/eV/f.u.
DFT total energy	-4.9195	eV per atom

Structure (CIF):
```
data_ZrSnTe3
_symmetry_space_group_name_H-M 'C 1 2/m 1'
_symmetry_Int_Tables_number 12
_symmetry_space_group_name_Hall '-C 2y'
_cell_length_a 18.297
_cell_length_b 4.269
_cell_length_c 8.095
_cell_angle_alpha 90.00
_cell_angle_beta 98.02
_cell_angle_gamma 90.00
loop_
_atom_site_label
_atom_site_fract_x
_atom_site_fract_y
_atom_site_fract_z
Zr1 0.206 0.000 0.239
Sn1 0.048 0.500 0.676
Te1 0.046 0.000 0.216
Te2 0.169 0.500 0.983
Te3 0.191 0.000 0.604
```